Below is crystalline YP2RuO at its relaxed geometry, with properties calculated at the PBE level.

The structure in POSCAR format:
```
YP2RuO
1.0
5.321 0.000 0.000
0.000 5.321 0.000
0.000 0.000 4.073
Y P O Ru
1 2 1 1
direct
0.000 0.000 0.000 Y
0.500 0.000 0.000 P
0.000 0.500 0.000 P
0.000 0.000 0.500 O
0.500 0.500 0.500 Ru
```

Calculated values
* ρ: 3858 kg/m3
* total magnetization: 2.127 μB/f.u.
* total DFT energy (no corrections): -28.6 eV per cell
* excess energy over the best structure of this formula in the dataset: 5.68 eV per formula unit
* SG: P4/mmm (123)